Below is crystalline PmLuBe2 at its relaxed geometry, with properties calculated at the PBE level.

Lattice parameters (Å, degrees): 3.4022 3.4022 6.8765 90.00 90.00 90.00
Fractional coordinates of all 4 atoms:
Pm: 0.0000 0.0000 0.0000
Lu: 0.0000 0.0000 0.5000
Be: 0.5000 0.5000 0.2819
Be: 0.5000 0.5000 0.7181

## Properties
As for the density of states at the Fermi level: 3.97 states/eV per cell. For the formation energy, the calculation gives 0.119 eV per atom. The energy above the most stable polymorph in this dataset comes out at 0.000 eV/atom.

---

Below is crystalline SmHo4PbS8 at its relaxed geometry, with properties calculated at the PBE level.

Lattice parameters (Å, degrees): 8.1969 8.1969 8.1969 59.28 59.28 59.28
Fractional coordinates of all 14 atoms:
Sm: 0.0000 0.0000 0.0000
Ho: 0.9996 0.9996 0.4925
Ho: 0.9996 0.4925 0.9996
Ho: 0.4925 0.9996 0.9996
Ho: 0.6236 0.6236 0.6236
Pb: 0.3714 0.3714 0.3714
S: 0.2271 0.7517 0.7517
S: 0.2328 0.2328 0.2328
S: 0.2391 0.2391 0.7868
S: 0.2391 0.7868 0.2391
S: 0.7517 0.2271 0.7517
S: 0.7517 0.7517 0.2271
S: 0.7557 0.7557 0.7557
S: 0.7868 0.2391 0.2391

## Properties
As for the density of states at the Fermi level: 4.07 states/eV per cell. The formation energy (no corrections) is -1.7619 eV per atom.

---

Below is crystalline HfScPd2 at its relaxed geometry, with properties calculated at the PBE level.

Lattice parameters (Å, degrees): 5.9309 5.9309 5.9309 104.12 104.12 120.81
Fractional coordinates of all 8 atoms:
Hf: 0.0000 0.0000 0.0000
Hf: 0.7500 0.2500 0.5000
Sc: 0.2500 0.7500 0.5000
Sc: 0.5000 0.5000 0.0000
Pd: 0.1193 0.6250 0.9943
Pd: 0.3750 0.3693 0.4943
Pd: 0.6307 0.1250 0.0057
Pd: 0.8750 0.8807 0.5057

## Properties
As for the density of states at the Fermi level: 13.54 states/eV per cell. For the formation energy, the calculation gives -0.345 eV per atom.

---

Below is crystalline ScCr4Mo at its relaxed geometry, with properties calculated at the PBE level.

Lattice parameters (Å, degrees): 4.8983 4.8983 4.8983 60.00 60.00 60.00
Fractional coordinates of all 6 atoms:
Sc: 0.0000 0.0000 0.0000
Cr: 0.3753 0.3753 0.3753
Cr: 0.3753 0.3753 0.8742
Cr: 0.3753 0.8742 0.3753
Cr: 0.8742 0.3753 0.3753
Mo: 0.7500 0.7500 0.7500

## Properties
As for the density of states at the Fermi level: 3.93 states/eV per cell. For the formation energy, the calculation gives 0.020 eV per atom.

---

Below is crystalline LaTlSN2 at its relaxed geometry, with properties calculated at the PBE level.

Lattice parameters (Å, degrees): 4.3111 4.3111 6.1534 90.00 90.00 90.00
Fractional coordinates of all 5 atoms:
La: 0.0000 0.0000 0.0000
Tl: 0.5000 0.5000 0.5000
S: 0.0000 0.0000 0.5000
N: 0.0000 0.5000 0.0000
N: 0.5000 0.0000 0.0000

## Properties
As for the density of states at the Fermi level: 3.90 states/eV per cell. The formation energy (no corrections) is 0.5422 eV per atom.

---

Below is crystalline Mg3ZnHg at its relaxed geometry, with properties calculated at the PBE level.

Lattice parameters (Å, degrees): 6.0864 4.1687 8.6060 90.00 99.86 90.00
Fractional coordinates of all 10 atoms:
Mg: 0.0000 0.0000 0.0000
Mg: 0.0465 0.0000 0.6458
Mg: 0.3078 0.5000 0.1994
Mg: 0.5185 0.0000 0.9983
Mg: 0.5998 0.0000 0.4287
Mg: 0.6979 0.5000 0.7525
Zn: 0.1014 0.0000 0.3432
Zn: 0.2985 0.5000 0.5215
Hg: 0.2336 0.5000 0.8472
Hg: 0.7941 0.5000 0.2041

## Properties
As for the density of states at the Fermi level: 3.26 states/eV per cell. For the formation energy, the calculation gives -0.069 eV per atom. The energy above the most stable polymorph in this dataset comes out at 0.009 eV/atom.

---

| no. | calculated total energy (eV/atom) | density (kg/m³) | M_tot (μB/cell) |
| --- | --- | --- | --- |
| 1 | -4.06 | 7051 | 0.00 |
| 2 | -6.03 | 5522 | 0.00 |
| 3 | -7.01 | 9300 | 0.00 |
| 4 | -9.26 | 6971 | 0.00 |
| 5 | -5.07 | 5857 | 0.50 |
| 6 | -1.34 | 5232 | 0.00 |